[1]
# Cu2Te2Pd3

An optimized crystal structure of Cu2Te2Pd3 (GGA-PBE, the Open Quantum Materials Database).

Lattice parameters (Å, degrees): 5.682 7.791 5.767 90.00 90.00 90.00
Positions (direct):
Cu: 0.250 0.085 0.130
Cu: 0.250 0.415 0.130
Cu: 0.750 0.585 0.870
Cu: 0.750 0.915 0.870
Te: 0.250 0.250 0.737
Te: 0.250 0.750 0.738
Te: 0.750 0.250 0.262
Te: 0.750 0.750 0.263
Pd: 0.000 0.000 0.500
Pd: 0.000 0.500 0.500
Pd: 0.250 0.750 0.206
Pd: 0.500 0.000 0.500
Pd: 0.500 0.500 0.500
Pd: 0.750 0.250 0.794

Calculated values
- Space group: No. 59

***

[2]
# RbTaIn

An optimized crystal structure of RbTaIn (GGA-PBE, the Open Quantum Materials Database).

Lattice parameters (Å, degrees): 5.085 5.085 5.085 60.00 60.00 60.00
Positions (direct):
Rb: 0.000 0.000 0.000
Ta: 0.750 0.750 0.750
In: 0.500 0.500 0.500

Calculated values
- Energy relative to the lowest polymorph listed for this composition: 0.000 eV/atom
- Spin magnetization: 1.00 μB per cell
- Space group: No. 216

***

[3]
# ScBeFeSn

An optimized crystal structure of ScBeFeSn (GGA-PBE, the Open Quantum Materials Database).

Lattice parameters (Å, degrees): 4.386 4.386 4.386 60.00 60.00 60.00
Positions (direct):
Sc: 0.000 0.000 0.000
Be: 0.250 0.250 0.250
Fe: 0.750 0.750 0.750
Sn: 0.500 0.500 0.500

Calculated values
- Energy relative to the lowest polymorph listed for this composition: 0.000 eV/atom
- Spin magnetization: 0.99 μB per cell
- Space group: No. 216

***

[4]
# Cu2Ag3

An optimized crystal structure of Cu2Ag3 (GGA-PBE, the Open Quantum Materials Database).

Lattice parameters (Å, degrees): 3.975 10.021 10.021 22.88 90.00 90.00
Positions (direct):
Cu: 0.000 0.000 0.000
Cu: 0.000 0.201 0.201
Cu: 0.000 0.414 0.414
Cu: 0.500 0.500 0.500
Ag: 0.000 0.596 0.596
Ag: 0.000 0.807 0.807
Ag: 0.500 0.096 0.096
Ag: 0.500 0.307 0.307
Ag: 0.500 0.701 0.701
Ag: 0.500 0.911 0.911

Calculated values
- Energy relative to the lowest polymorph listed for this composition: 0.052 eV/atom
- Space group: No. 38
- Calculated formation energy: 84 meV per atom

***

[5]
# CoMoAsOs

An optimized crystal structure of CoMoAsOs (GGA-PBE, the Open Quantum Materials Database).

Lattice parameters (Å, degrees): 4.316 4.316 4.316 60.00 60.00 60.00
Positions (direct):
Co: 0.000 0.000 0.000
Mo: 0.500 0.500 0.500
As: 0.750 0.750 0.750
Os: 0.250 0.250 0.250

Calculated values
- Energy relative to the lowest polymorph listed for this composition: 0.000 eV/atom
- Spin magnetization: 1.28 μB per cell
- Space group: No. 216

***

[6]
# BeAgSO

An optimized crystal structure of BeAgSO (GGA-PBE, the Open Quantum Materials Database).

Lattice parameters (Å, degrees): 3.433 3.433 9.067 90.00 90.00 90.00
Positions (direct):
Be: 0.250 0.250 0.023
Be: 0.750 0.750 0.977
Ag: 0.250 0.250 0.641
Ag: 0.750 0.750 0.359
S: 0.250 0.250 0.305
S: 0.750 0.750 0.695
O: 0.250 0.750 0.000
O: 0.750 0.250 0.000

Calculated values
- Energy relative to the lowest polymorph listed for this composition: 0.230 eV/atom
- Space group: No. 129

***

[7]
# Re2MoIr2

An optimized crystal structure of Re2MoIr2 (GGA-PBE, the Open Quantum Materials Database).

Lattice parameters (Å, degrees): 6.527 6.527 6.527 146.96 146.96 47.42
Positions (direct):
Re: 0.250 0.750 0.500
Re: 0.750 0.250 0.500
Mo: 0.000 0.000 0.000
Ir: 0.400 0.400 0.000
Ir: 0.600 0.600 0.000

Calculated values
- Spin magnetization: 0.02 μB per cell
- Space group: No. 139
- Calculated formation energy: 470 meV per atom

***

[8]
# KTbSe4

An optimized crystal structure of KTbSe4 (GGA-PBE, the Open Quantum Materials Database).

Lattice parameters (Å, degrees): 6.283 6.283 8.404 90.00 90.00 90.00
Positions (direct):
K: 0.250 0.250 0.000
K: 0.750 0.750 0.000
Tb: 0.250 0.250 0.500
Tb: 0.750 0.750 0.500
Se: 0.113 0.613 0.293
Se: 0.113 0.887 0.707
Se: 0.387 0.613 0.707
Se: 0.387 0.887 0.293
Se: 0.613 0.113 0.707
Se: 0.613 0.387 0.293
Se: 0.887 0.113 0.293
Se: 0.887 0.387 0.707

Calculated values
- Spin magnetization: 0.00 μB per cell
- Space group: No. 125

***

[9]
# KReAgTeS2

An optimized crystal structure of KReAgTeS2 (GGA-PBE, the Open Quantum Materials Database).

Lattice parameters (Å, degrees): 8.149 8.149 10.381 90.00 90.00 154.07
Positions (direct):
K: 0.234 0.766 0.750
K: 0.766 0.234 0.250
Re: 0.000 0.000 0.000
Re: 0.000 0.000 0.500
Ag: 0.442 0.558 0.250
Ag: 0.558 0.442 0.750
Te: 0.077 0.923 0.250
Te: 0.923 0.077 0.750
S: 0.396 0.604 0.027
S: 0.396 0.604 0.473
S: 0.604 0.396 0.527
S: 0.604 0.396 0.973

Calculated values
- Spin magnetization: 4.46 μB per cell
- Space group: No. 63

***

[10]
# ScCo2Bi

An optimized crystal structure of ScCo2Bi (GGA-PBE, the Open Quantum Materials Database).

Lattice parameters (Å, degrees): 4.542 4.542 4.542 60.00 60.00 60.00
Positions (direct):
Sc: 0.000 0.000 0.000
Co: 0.250 0.250 0.250
Co: 0.500 0.500 0.500
Bi: 0.750 0.750 0.750

Calculated values
- Spin magnetization: 2.36 μB per cell
- Space group: No. 216

***

[11]
# KSnPt

An optimized crystal structure of KSnPt (GGA-PBE, the Open Quantum Materials Database).

Lattice parameters (Å, degrees): 4.888 4.888 4.888 60.00 60.00 60.00
Positions (direct):
K: 0.000 0.000 0.000
Sn: 0.500 0.500 0.500
Pt: 0.250 0.250 0.250

Calculated values
- Spin magnetization: 0.00 μB per cell
- Space group: No. 216

***

[12]
# ZrCuHgBi

An optimized crystal structure of ZrCuHgBi (GGA-PBE, the Open Quantum Materials Database).

Lattice parameters (Å, degrees): 4.986 4.986 4.986 60.00 60.00 60.00
Positions (direct):
Zr: 0.000 0.000 0.000
Cu: 0.500 0.500 0.500
Hg: 0.750 0.750 0.750
Bi: 0.250 0.250 0.250

Calculated values
- Energy relative to the lowest polymorph listed for this composition: 0.000 eV/atom
- Spin magnetization: 0.60 μB per cell
- Space group: No. 216

***

[13]
# MgAgSeO

An optimized crystal structure of MgAgSeO (GGA-PBE, the Open Quantum Materials Database).

Lattice parameters (Å, degrees): 3.291 3.291 14.010 90.00 90.00 120.00
Positions (direct):
Mg: 0.333 0.667 0.000
Mg: 0.667 0.333 0.500
Ag: 0.000 0.000 0.193
Ag: 0.000 0.000 0.693
Se: 0.333 0.667 0.331
Se: 0.667 0.333 0.831
O: 0.000 0.000 0.035
O: 0.000 0.000 0.535

Calculated values
- Energy relative to the lowest polymorph listed for this composition: 0.060 eV/atom
- Space group: No. 186

***

[14]
# DyPdNO

An optimized crystal structure of DyPdNO (GGA-PBE, the Open Quantum Materials Database).

Lattice parameters (Å, degrees): 3.895 5.646 5.142 90.00 90.00 90.00
Positions (direct):
Dy: 0.000 0.237 0.000
Dy: 0.000 0.763 0.500
Pd: 0.500 0.195 0.524
Pd: 0.500 0.805 0.024
N: 0.000 0.180 0.450
N: 0.000 0.820 0.950
O: 0.500 0.377 0.883
O: 0.500 0.623 0.383

Calculated values
- Energy relative to the lowest polymorph listed for this composition: 0.382 eV/atom
- Spin magnetization: 0.01 μB per cell
- Space group: No. 26

***

[15]
# Er3Mg3Tl2In

An optimized crystal structure of Er3Mg3Tl2In (GGA-PBE, the Open Quantum Materials Database).

Lattice parameters (Å, degrees): 7.471 7.471 4.641 90.00 90.00 120.00
Positions (direct):
Er: 0.000 0.566 0.000
Er: 0.434 0.434 0.000
Er: 0.566 0.000 0.000
Mg: 0.000 0.241 0.500
Mg: 0.241 0.000 0.500
Mg: 0.759 0.759 0.500
Tl: 0.333 0.667 0.500
Tl: 0.667 0.333 0.500
In: 0.000 0.000 0.000

Calculated values
- Spin magnetization: 0.00 μB per cell
- Space group: No. 189

***

[16]
# Rb2TaSnS6

An optimized crystal structure of Rb2TaSnS6 (GGA-PBE, the Open Quantum Materials Database).

Lattice parameters (Å, degrees): 7.070 7.040 12.320 90.00 124.97 90.00
Positions (direct):
Rb: 0.244 0.021 0.249
Rb: 0.244 0.479 0.749
Rb: 0.756 0.521 0.251
Rb: 0.756 0.979 0.751
Ta: 0.500 0.000 0.000
Ta: 0.500 0.500 0.500
Sn: 0.000 0.000 0.500
Sn: 0.000 0.500 0.000
S: 0.211 0.212 0.982
S: 0.211 0.288 0.482
S: 0.277 0.724 0.987
S: 0.277 0.776 0.487
S: 0.289 0.514 0.259
S: 0.289 0.986 0.759
S: 0.711 0.014 0.241
S: 0.711 0.486 0.741
S: 0.723 0.224 0.513
S: 0.723 0.276 0.013
S: 0.789 0.712 0.518
S: 0.789 0.788 0.018

Calculated values
- Energy relative to the lowest polymorph listed for this composition: 0.079 eV/atom
- Spin magnetization: 0.07 μB per cell
- Space group: No. 14

***

[17]
# NaP2Pd5

An optimized crystal structure of NaP2Pd5 (GGA-PBE, the Open Quantum Materials Database).

Lattice parameters (Å, degrees): 6.317 6.317 6.317 143.48 113.71 78.13
Positions (direct):
Na: 0.000 0.000 0.000
P: 0.262 0.762 0.500
P: 0.738 0.238 0.500
Pd: 0.144 0.345 0.799
Pd: 0.453 0.655 0.799
Pd: 0.500 0.000 0.500
Pd: 0.547 0.345 0.201
Pd: 0.856 0.655 0.201

Calculated values
- Space group: No. 71

***

[18]
# Cu2I3Br

An optimized crystal structure of Cu2I3Br (GGA-PBE, the Open Quantum Materials Database).

Lattice parameters (Å, degrees): 7.228 3.719 7.759 90.00 117.04 90.00
Positions (direct):
Cu: 0.000 0.000 0.000
Cu: 0.491 0.500 0.505
I: 0.252 0.500 0.003
I: 0.749 0.000 0.505
I: 0.755 0.500 0.010
Br: 0.267 0.000 0.506

Calculated values
- Space group: No. 6

***

[19]
# RbHoSb

An optimized crystal structure of RbHoSb (GGA-PBE, the Open Quantum Materials Database).

Lattice parameters (Å, degrees): 5.355 5.355 5.355 60.00 60.00 60.00
Positions (direct):
Rb: 0.000 0.000 0.000
Ho: 0.250 0.250 0.250
Sb: 0.500 0.500 0.500

Calculated values
- Spin magnetization: 0.51 μB per cell
- Space group: No. 216

***

[20]
# SrNi2AsP

An optimized crystal structure of SrNi2AsP (GGA-PBE, the Open Quantum Materials Database).

Lattice parameters (Å, degrees): 5.859 5.859 5.859 139.24 139.24 59.00
Positions (direct):
Sr: 0.000 0.000 0.000
Ni: 0.242 0.742 0.500
Ni: 0.742 0.242 0.500
As: 0.365 0.365 0.000
P: 0.643 0.643 0.000

Calculated values
- Spin magnetization: 0.00 μB per cell
- Space group: No. 107

***

[21]
# TmBr

An optimized crystal structure of TmBr (GGA-PBE, the Open Quantum Materials Database).

Lattice parameters (Å, degrees): 4.519 4.519 4.519 60.00 60.00 60.00
Positions (direct):
Tm: 0.000 0.000 0.000
Br: 0.250 0.250 0.250

Calculated values
- Spin magnetization: 0.08 μB per cell
- Space group: No. 216

***

[22]
# Al6SiPd2

An optimized crystal structure of Al6SiPd2 (GGA-PBE, the Open Quantum Materials Database).

Lattice parameters (Å, degrees): 6.848 6.848 3.540 90.00 90.00 120.00
Positions (direct):
Al: 0.000 0.270 0.000
Al: 0.000 0.610 0.500
Al: 0.270 0.000 0.000
Al: 0.390 0.390 0.500
Al: 0.610 0.000 0.500
Al: 0.730 0.730 0.000
Si: 0.000 0.000 0.500
Pd: 0.333 0.667 0.000
Pd: 0.667 0.333 0.000

Calculated values
- Space group: No. 189

***

[23]
# Tm2ScS3

An optimized crystal structure of Tm2ScS3 (GGA-PBE, the Open Quantum Materials Database).

Lattice parameters (Å, degrees): 3.791 3.791 9.266 90.00 90.00 120.00
Positions (direct):
Tm: 0.333 0.667 0.172
Tm: 0.667 0.333 0.828
Sc: 0.000 0.000 0.500
S: 0.000 0.000 0.000
S: 0.333 0.667 0.658
S: 0.667 0.333 0.342

Calculated values
- Spin magnetization: 0.00 μB per cell
- Space group: No. 164

***

The records above yield energy values of -4.26, -3.50, -5.63, -3.10, -8.12, -4.86, -10.21, -4.44, -4.79, -5.94, -3.71, -3.96, -4.28, -6.85, -3.19, -4.89, -5.24, -2.43, -3.15, -5.30, -3.43, -4.58, -6.52 eV per atom, respectively.